1.
# PBE BaLi2Pm2Pb2, relaxed
# VASP energy (eV/f.u.): -25.40
# Formation enthalpy at 0 K (eV per atom): -0.390
data_BaLi2Pm2Pb2
_cell_length_a 5.0322
_cell_length_b 5.0322
_cell_length_c 29.7944
_cell_angle_alpha 90.00
_cell_angle_beta 90.00
_cell_angle_gamma 120.00
_symmetry_space_group_name_H-M 'R -3 m'
_symmetry_Int_Tables_number 166
_symmetry_space_group_name_Hall '-R 3 2"'
loop_
_atom_site_label
_atom_site_type_symbol
_atom_site_fract_x
_atom_site_fract_y
_atom_site_fract_z
_atom_site_occupancy
Ba1 Ba 0.0000 0.0000 0.0000 1
Li1 Li 0.0000 0.0000 0.4233 1
Pm1 Pm 0.0000 0.0000 0.1324 1
Pb1 Pb 0.0000 0.0000 0.2515 1


2.
# PBE Pm3HoTm3, relaxed
# VASP energy (eV/f.u.): -31.05
# Energy above the most stable polymorph in this dataset (meV per atom): 153
# Formation enthalpy at 0 K (eV per atom): 0.170
data_Pm3HoTm3
_cell_length_a 6.1717
_cell_length_b 6.1717
_cell_length_c 42.8873
_cell_angle_alpha 90.00
_cell_angle_beta 90.00
_cell_angle_gamma 120.00
_symmetry_space_group_name_H-M 'R -3'
_symmetry_Int_Tables_number 148
_symmetry_space_group_name_Hall '-R 3'
loop_
_atom_site_label
_atom_site_type_symbol
_atom_site_fract_x
_atom_site_fract_y
_atom_site_fract_z
_atom_site_occupancy
Pm1 Pm 0.0002 0.3309 0.1308 1
Ho1 Ho 0.0000 0.0000 0.3333 1
Tm1 Tm 0.0002 0.3334 0.2687 1


3.
# PBE GeBP2, relaxed
# VASP energy (eV/f.u.): -21.93
# Energy above the most stable polymorph in this dataset (meV per atom): 0
# Formation enthalpy at 0 K (eV per atom): 0.045
data_GeBP2
_cell_length_a 5.333
_cell_length_b 5.333
_cell_length_c 8.875
_cell_angle_alpha 90.00
_cell_angle_beta 90.00
_cell_angle_gamma 90.00
_symmetry_space_group_name_H-M 'I -4 2 d'
_symmetry_Int_Tables_number 122
_symmetry_space_group_name_Hall 'I -4 2bw'
loop_
_atom_site_label
_atom_site_type_symbol
_atom_site_fract_x
_atom_site_fract_y
_atom_site_fract_z
_atom_site_occupancy
Ge1 Ge 0.000 0.000 0.000 1
B1 B 0.000 0.000 0.500 1
P1 P 0.180 0.250 0.625 1


4.
# PBE Th2MgFe, relaxed
# VASP energy (eV/f.u.): -24.67
# Energy above the most stable polymorph in this dataset (meV per atom): 102
# Formation enthalpy at 0 K (eV per atom): 0.058
data_Th2MgFe
_cell_length_a 3.374
_cell_length_b 3.374
_cell_length_c 8.817
_cell_angle_alpha 90.00
_cell_angle_beta 90.00
_cell_angle_gamma 90.00
_symmetry_space_group_name_H-M 'P 4/m m m'
_symmetry_Int_Tables_number 123
_symmetry_space_group_name_Hall '-P 4 2'
loop_
_atom_site_label
_atom_site_type_symbol
_atom_site_fract_x
_atom_site_fract_y
_atom_site_fract_z
_atom_site_occupancy
Th1 Th 0.000 0.000 0.198 1
Mg1 Mg 0.500 0.500 0.500 1
Fe1 Fe 0.500 0.500 0.000 1


5.
# PBE Tb2NdHg, relaxed
# VASP energy (eV/f.u.): -14.94
# Energy above the most stable polymorph in this dataset (meV per atom): 81
# Formation enthalpy at 0 K (eV per atom): -0.151
data_Tb2NdHg
_cell_length_a 3.6792
_cell_length_b 3.6792
_cell_length_c 31.8849
_cell_angle_alpha 90.00
_cell_angle_beta 90.00
_cell_angle_gamma 120.00
_symmetry_space_group_name_H-M 'R 3 m'
_symmetry_Int_Tables_number 160
_symmetry_space_group_name_Hall 'R 3 -2"'
loop_
_atom_site_label
_atom_site_type_symbol
_atom_site_fract_x
_atom_site_fract_y
_atom_site_fract_z
_atom_site_occupancy
Tb1 Tb 0.0000 0.0000 0.0000 1
Tb2 Tb 0.0000 0.0000 0.1848 1
Nd1 Nd 0.0000 0.0000 0.4257 1
Hg1 Hg 0.0000 0.0000 0.5922 1


6.
# PBE PuReSi, relaxed
# VASP energy (eV/f.u.): -32.98
# Energy relative to the elements, uncorrected (eV/atom): -0.26
data_PuReSi
_cell_length_a 4.252
_cell_length_b 4.252
_cell_length_c 6.517
_cell_angle_alpha 90.00
_cell_angle_beta 90.00
_cell_angle_gamma 90.00
_symmetry_space_group_name_H-M 'P 4/n m m'
_symmetry_Int_Tables_number 129
loop_
_symmetry_equiv_pos_as_xyz
'x,y,z'
'-x,-y,-z'
'-y+1/2,x,z'
'y+1/2,-x,-z'
'-x+1/2,-y+1/2,z'
'x+1/2,y+1/2,-z'
'y,-x+1/2,z'
'-y,x+1/2,-z'
'x+1/2,-y,-z'
'-x+1/2,y,z'
'-y,-x,-z'
'y,x,z'
'-x,y+1/2,-z'
'x,-y+1/2,z'
'y+1/2,x+1/2,-z'
'-y+1/2,-x+1/2,z'
loop_
_atom_site_label
_atom_site_type_symbol
_atom_site_fract_x
_atom_site_fract_y
_atom_site_fract_z
_atom_site_occupancy
Pu1 Pu 0.250 0.250 0.183 1
Re1 Re 0.250 0.750 0.500 1
Si1 Si 0.250 0.250 0.705 1